# 1
DFT (PBE) results for KTaRu after structural relaxation.

- space group = I4mm, No. 107
- density of states at the Fermi level (states/eV/f.u.) = 3.39
- crystal system = tetragonal
- energy (eV per atom) = -6.850
- M_tot (μB/atom) = 0.000

```
KTaRu
1.0
-1.6096 1.6096 7.2698
1.6096 -1.6096 7.2698
1.6096 1.6096 -7.2698
K Ta Ru
1 1 1
Direct
0.0000 0.0000 0.0000
0.7334 0.7334 0.0000
0.3141 0.3141 0.0000
```

=====

# 2
DFT (PBE) results for BeCdSi2 after structural relaxation.

- space group = I-42d, No. 122
- E_form (uncorrected) (eV per atom) = 0.373
- density of states at the Fermi level (states/eV/f.u.) = 0.07
- crystal system = tetragonal
- M_tot (μB/atom) = 0.000

```
BeCdSi2
1.0
-2.1598 2.1598 7.5899
2.1598 -2.1598 7.5899
2.1598 2.1598 -7.5899
Be Cd Si
2 2 4
Direct
0.0000 0.0000 0.0000
0.7500 0.2500 0.5000
0.2500 0.7500 0.5000
0.5000 0.5000 0.0000
0.0285 0.6250 0.9035
0.3750 0.2785 0.4035
0.7215 0.1250 0.0965
0.8750 0.9715 0.5965
```

=====

# 3
DFT (PBE) results for SrCdRe after structural relaxation.

- space group = F-43m, No. 216
- density of states at the Fermi level (states/eV/f.u.) = 2.22
- crystal system = cubic
- energy (eV per atom) = -3.777
- M_tot (μB/atom) = 0.917

```
SrCdRe
1.0
0.0000 3.5072 3.5072
3.5072 0.0000 3.5072
3.5072 3.5072 0.0000
Sr Cd Re
1 1 1
Direct
0.0000 0.0000 0.0000
0.5000 0.5000 0.5000
0.7500 0.7500 0.7500
```

=====

# 4
DFT (PBE) results for MnGe2Ir after structural relaxation.

- space group = Cm, No. 8
- density of states at the Fermi level (states/eV/f.u.) = 2.18
- crystal system = monoclinic
- energy (eV per atom) = -6.894
- M_tot (μB/atom) = 0.091

```
MnGe2Ir
1.0
6.7795 -1.4877 0.0000
6.7795 1.4877 0.0000
-1.3634 0.0000 6.1809
Mn Ge Ir
2 4 2
Direct
0.0000 0.0000 0.0000
0.5551 0.5551 0.3323
0.3694 0.3694 0.1116
0.6426 0.6426 0.9600
0.7118 0.7118 0.6176
0.9957 0.9957 0.5973
0.2148 0.2148 0.2734
0.3635 0.3635 0.7006
```

=====

# 5
DFT (PBE) results for Np2Ga6Tc after structural relaxation.

- space group = P-3m1, No. 164
- density of states at the Fermi level (states/eV/f.u.) = 18.86
- crystal system = trigonal
- energy (eV per atom) = -6.203
- M_tot (μB/atom) = 0.920

```
Np2Ga6Tc
1.0
5.9025 0.0000 0.0000
-2.9512 5.1117 0.0000
0.0000 0.0000 5.5888
Np Ga Tc
2 6 1
Direct
0.3333 0.6667 0.1795
0.6667 0.3333 0.8205
0.1770 0.3539 0.6822
0.1770 0.8230 0.6822
0.3539 0.1770 0.3178
0.6461 0.8230 0.6822
0.8230 0.1770 0.3178
0.8230 0.6461 0.3178
0.0000 0.0000 0.0000
```

=====

# 6
DFT (PBE) results for CrOsSe2N after structural relaxation.

- space group = P4/mmm, No. 123
- E_form (uncorrected) (eV per atom) = 0.848
- density of states at the Fermi level (states/eV/f.u.) = 4.65
- crystal system = tetragonal
- M_tot (μB/atom) = 0.282

```
CrOsSe2N
1.0
4.8599 0.0000 0.0000
0.0000 4.8599 0.0000
0.0000 0.0000 3.4142
Cr Os Se N
1 1 2 1
Direct
0.0000 0.0000 0.0000
0.5000 0.5000 0.5000
0.0000 0.5000 0.0000
0.5000 0.0000 0.0000
0.0000 0.0000 0.5000
```

=====

# 7
DFT (PBE) results for Cs2KUI6 after structural relaxation.

- space group = Pmmn, No. 59
- E_form (uncorrected) (eV per atom) = -1.244
- density of states at the Fermi level (states/eV/f.u.) = 0.18
- crystal system = orthorhombic
- M_tot (μB/atom) = 0.300

```
Cs2KUI6
1.0
8.9006 0.0000 0.0000
0.0000 13.0396 0.0000
0.0000 0.0000 9.7489
Cs K U I
4 2 2 12
Direct
0.2500 0.0405 0.1904
0.2500 0.4595 0.1904
0.7500 0.5405 0.8096
0.7500 0.9595 0.8096
0.2500 0.2500 0.7076
0.7500 0.7500 0.2924
0.2500 0.7500 0.7859
0.7500 0.2500 0.2141
0.0084 0.7500 0.0205
0.0087 0.2500 0.4286
0.2500 0.5103 0.7875
0.2500 0.9897 0.7875
0.4913 0.2500 0.4286
0.4916 0.7500 0.0205
0.5084 0.2500 0.9795
0.5087 0.7500 0.5714
0.7500 0.0103 0.2125
0.7500 0.4897 0.2125
0.9913 0.7500 0.5714
0.9916 0.2500 0.9795
```

=====

# 8
DFT (PBE) results for SmMn2B4 after structural relaxation.

- space group = Immm, No. 71
- density of states at the Fermi level (states/eV/f.u.) = 4.75
- crystal system = orthorhombic
- energy (eV per atom) = -7.420
- M_tot (μB/atom) = 0.509

```
SmMn2B4
1.0
-1.5305 1.6295 7.3910
1.5305 -1.6295 7.3910
1.5305 1.6295 -7.3910
Sm Mn B
1 2 4
Direct
0.0000 0.0000 0.0000
0.1945 0.6945 0.5000
0.8055 0.3055 0.5000
0.3426 0.8426 0.5000
0.3934 0.3934 0.0000
0.6066 0.6066 0.0000
0.6574 0.1574 0.5000
```

=====

# 9
DFT (PBE) results for MnRe after structural relaxation.

- space group = Pm-3n, No. 223
- density of states at the Fermi level (states/eV/f.u.) = 2.55
- crystal system = cubic
- energy (eV per atom) = -8.914
- M_tot (μB/atom) = 0.445

```
MnRe
1.0
6.5452 0.0000 0.0000
0.0000 6.5452 0.0000
0.0000 0.0000 6.5452
Mn Re
6 6
Direct
0.0000 0.2500 0.5000
0.0000 0.7500 0.5000
0.2500 0.5000 0.0000
0.5000 0.0000 0.2500
0.5000 0.0000 0.7500
0.7500 0.5000 0.0000
0.0000 0.5000 0.2500
0.0000 0.5000 0.7500
0.2500 0.0000 0.5000
0.5000 0.2500 0.0000
0.5000 0.7500 0.0000
0.7500 0.0000 0.5000
```

=====

# 10
DFT (PBE) results for AcDy2 after structural relaxation.

- space group = Fd-3m, No. 227
- density of states at the Fermi level (states/eV/f.u.) = 6.62
- crystal system = cubic
- energy (eV per atom) = -4.181
- M_tot (μB/atom) = 0.788

```
AcDy2
1.0
0.0000 4.8402 4.8402
4.8402 0.0000 4.8402
4.8402 4.8402 0.0000
Ac Dy
2 4
Direct
0.1250 0.1250 0.1250
0.8750 0.8750 0.8750
0.0000 0.5000 0.5000
0.5000 0.0000 0.5000
0.5000 0.5000 0.0000
0.5000 0.5000 0.5000
```

=====

# 11
DFT (PBE) results for AlZn4Pt after structural relaxation.

- space group = F-43m, No. 216
- density of states at the Fermi level (states/eV/f.u.) = 1.69
- crystal system = cubic
- energy (eV per atom) = -2.628
- M_tot (μB/atom) = 0.000

```
AlZn4Pt
1.0
0.0000 3.5298 3.5298
3.5298 0.0000 3.5298
3.5298 3.5298 0.0000
Al Zn Pt
1 4 1
Direct
0.0000 0.0000 0.0000
0.3754 0.3754 0.3754
0.3754 0.3754 0.8737
0.3754 0.8737 0.3754
0.8737 0.3754 0.3754
0.7500 0.7500 0.7500
```

=====

# 12
DFT (PBE) results for BaScIn4 after structural relaxation.

- space group = F-43m, No. 216
- density of states at the Fermi level (states/eV/f.u.) = 4.91
- crystal system = cubic
- energy (eV per atom) = -3.403
- M_tot (μB/atom) = 0.000

```
BaScIn4
1.0
0.0000 4.3753 4.3753
4.3753 0.0000 4.3753
4.3753 4.3753 0.0000
Ba Sc In
1 1 4
Direct
0.0000 0.0000 0.0000
0.2500 0.2500 0.2500
0.1268 0.6244 0.6244
0.6244 0.1268 0.6244
0.6244 0.6244 0.1268
0.6244 0.6244 0.6244
```

=====

Repeat the first record exactly.
DFT (PBE) results for KTaRu after structural relaxation.

- space group = I4mm, No. 107
- density of states at the Fermi level (states/eV/f.u.) = 3.39
- crystal system = tetragonal
- energy (eV per atom) = -6.850
- M_tot (μB/atom) = 0.000

```
KTaRu
1.0
-1.6096 1.6096 7.2698
1.6096 -1.6096 7.2698
1.6096 1.6096 -7.2698
K Ta Ru
1 1 1
Direct
0.0000 0.0000 0.0000
0.7334 0.7334 0.0000
0.3141 0.3141 0.0000
```

=====

Which of these has the lowest density of states at the Fermi level?
BeCdSi2